A plane-wave DFT calculation with PBE was carried out for crystalline BaLiLaTeO6 at its relaxed geometry.

The value obtained for the raw formation energy is -2.247 eV per atom.

It has space group F-43m (No. 216), with a = 8.0869 Å, b = 8.0869 Å, c = 8.0869 Å, α = 90.00°, β = 90.00° and γ = 90.00°. The asymmetric unit holds Ba at (0.0000, 0.0000, 0.0000), Li at (0.2500, 0.2500, 0.7500), La at (0.0000, 0.0000, 0.5000), Te at (0.2500, 0.2500, 0.2500) and O at (0.0098, 0.2500, 0.2500).

---

A plane-wave DFT calculation with PBE was carried out for crystalline BaLiLa2Os at its relaxed geometry.

The total energy is -4.882 eV per atom.

It has space group P4/mmm (No. 123), with a = 5.5731 Å, b = 5.5731 Å, c = 6.3933 Å, α = 90.00°, β = 90.00° and γ = 90.00°. The asymmetric unit holds Ba at (0.0000, 0.0000, 0.0000), Li at (0.5000, 0.5000, 0.0000), La at (0.0000, 0.5000, 0.5000) and Os at (0.0000, 0.0000, 0.5000).

---

A plane-wave DFT calculation with PBE was carried out for crystalline BaLiLa2Os at its relaxed geometry.

The total energy is -4.866 eV per atom.

It has space group P4/mmm (No. 123), with a = 5.5043 Å, b = 5.5043 Å, c = 5.7629 Å, α = 90.00°, β = 90.00° and γ = 90.00°. The asymmetric unit holds Ba at (0.0000, 0.0000, 0.0000), Li at (0.5000, 0.5000, 0.0000), La at (0.0000, 0.5000, 0.5000) and Os at (0.5000, 0.5000, 0.5000).

---

A plane-wave DFT calculation with PBE was carried out for crystalline BaLi2LaP2 at its relaxed geometry.

The total energy is -4.546 eV per atom.

It has space group P-3m1 (No. 164), with a = 4.3334 Å, b = 4.3334 Å, c = 8.5981 Å, α = 90.00°, β = 90.00° and γ = 120.00°. The asymmetric unit holds Ba at (0.0000, 0.0000, 0.0000), Li at (0.3333, 0.6667, 0.7349), La at (0.0000, 0.0000, 0.5000) and P at (0.3333, 0.6667, 0.2839).

---

Please write out number 2 again, unchanged.
A plane-wave DFT calculation with PBE was carried out for crystalline BaLiLa2Os at its relaxed geometry.

The total energy is -4.882 eV per atom.

It has space group P4/mmm (No. 123), with a = 5.5731 Å, b = 5.5731 Å, c = 6.3933 Å, α = 90.00°, β = 90.00° and γ = 90.00°. The asymmetric unit holds Ba at (0.0000, 0.0000, 0.0000), Li at (0.5000, 0.5000, 0.0000), La at (0.0000, 0.5000, 0.5000) and Os at (0.0000, 0.0000, 0.5000).